(1)
BeMo2Br (PBEsol, optimized geometry); ΔE_f (raw) = 0.30 eV per atom; volume = 15.8 A^3/atom; uncorrected energy = -7.0491 eV per atom; E above lowest polymorph = 0 meV per atom
1.0
3.192 0.000 0.000
0.000 3.109 0.000
-1.560 0.000 6.386
Be Mo Br
1 2 1
direct
0.000 0.000 0.000
0.427 0.500 0.851
0.817 0.000 0.622
0.654 0.500 0.289

(2)
Cs3YI6 (PBEsol, optimized geometry); ΔE_f (raw) = -1.44 eV per atom; volume = 54.9 A^3/atom; uncorrected energy = -3.4619 eV per atom
1.0
0.000 6.501 6.501
6.501 0.000 6.501
6.501 6.501 0.000
Cs Y I
3 1 6
direct
0.000 0.000 0.000
0.250 0.250 0.250
0.750 0.750 0.750
0.500 0.500 0.500
0.271 0.271 0.729
0.271 0.729 0.271
0.271 0.729 0.729
0.729 0.271 0.271
0.729 0.271 0.729
0.729 0.729 0.271